CuPW2: optimized geometry, GGA-PBE.

Computed properties:
**SG**: Cmm2, No. 35
**E_form**: 0.316 eV/atom

Unit cell a=2.7808 b=2.7808 c=8.0709 alpha=90.00 beta=90.00 gamma=108.43
With the nearest neighbours (Å) after each atom.
Sites, in units of the cell vectors:
Cu (0.0000, 0.0000, 0.0000)  2 P 2.48, 2 W 2.66, 4 Cu 2.78
P (0.5000, 0.5000, 0.7672)  2 W 2.48, 2 Cu 2.48
W (0.0000, 0.0000, 0.5348)  2 P 2.48, 2 W 2.74
W (0.5000, 0.5000, 0.2609)  2 Cu 2.66, 6 W 2.74-2.78